No. 1
# CeTaNi10 (GGA-PBE, relaxed)
# - Density of states at the Fermi level: 1.3243 states/eV/atom
# - Total DFT energy (no corrections): -0.23855 hartree per atom
# - V: 156.2 Å³ per cell
data_CeTaNi10
_cell_length_a 3.977
_cell_length_b 4.753
_cell_length_c 8.264
_cell_angle_alpha 90.00
_cell_angle_beta 90.00
_cell_angle_gamma 90.00
_space_group_name_H-M_alt 'P m m m'
_space_group_IT_number 47
_space_group_name_Hall '-P 2 2'
loop_
_atom_site_label
_atom_site_fract_x
_atom_site_fract_y
_atom_site_fract_z
Ce1 0.000 0.000 0.000
Ta1 0.000 0.500 0.500
Ni1 0.000 0.000 0.342
Ni2 0.000 0.500 0.180
Ni3 0.500 0.000 0.500
Ni4 0.500 0.257 0.262
Ni5 0.500 0.500 0.000

---

No. 2
# CaYAgIr (GGA-PBE, relaxed)
# - Density of states at the Fermi level: 0.6637 states/eV/atom
# - Total DFT energy (no corrections): -0.20249 hartree per atom
# - V: 90.8 Å³ per cell
data_CaYAgIr
_cell_length_a 3.492
_cell_length_b 3.492
_cell_length_c 7.447
_cell_angle_alpha 90.00
_cell_angle_beta 90.00
_cell_angle_gamma 90.00
_space_group_name_H-M_alt 'P 4 m m'
_space_group_IT_number 99
_space_group_name_Hall 'P 4 -2'
loop_
_atom_site_label
_atom_site_fract_x
_atom_site_fract_y
_atom_site_fract_z
Ca1 0.000 0.000 0.000
Y1 0.000 0.000 0.555
Ag1 0.500 0.500 0.283
Ir1 0.500 0.500 0.754

---

No. 3
# Y4AsW (GGA-PBE, relaxed)
# - Density of states at the Fermi level: 0.9438 states/eV/atom
# - Total DFT energy (no corrections): -0.23467 hartree per atom
# - V: 613.9 Å³ per cell
data_Y4AsW
_cell_length_a 8.499
_cell_length_b 8.499
_cell_length_c 8.499
_cell_angle_alpha 90.00
_cell_angle_beta 90.00
_cell_angle_gamma 90.00
_space_group_name_H-M_alt 'F -4 3 m'
_space_group_IT_number 216
_space_group_name_Hall 'F -4 2 3'
loop_
_atom_site_label
_atom_site_fract_x
_atom_site_fract_y
_atom_site_fract_z
Y1 0.123 0.123 0.377
As1 0.000 0.000 0.000
W1 0.250 0.250 0.750

---

No. 4
# Ac2HoErO6 (GGA-PBE, relaxed)
# - Density of states at the Fermi level: 0.0000 states/eV/atom
# - Formation energy (no corrections): -80.29 kcal/mol of atoms
# - V: 320.2 Å³ per cell
data_Ac2HoErO6
_cell_length_a 6.013
_cell_length_b 6.175
_cell_length_c 10.511
_cell_angle_alpha 90.00
_cell_angle_beta 124.87
_cell_angle_gamma 90.00
_space_group_name_H-M_alt 'P 1 21/c 1'
_space_group_IT_number 14
_space_group_name_Hall '-P 2ybc'
loop_
_atom_site_label
_atom_site_fract_x
_atom_site_fract_y
_atom_site_fract_z
Ac1 0.236 0.047 0.250
Ho1 0.500 0.000 0.000
Er1 0.000 0.000 0.500
O1 0.138 0.201 0.939
O2 0.239 0.700 0.939
O3 0.362 0.047 0.749

---

No. 5
# Tl2CrGaTe4 (GGA-PBE, relaxed)
# - Density of states at the Fermi level: 0.4553 states/eV/atom
# - Formation energy (no corrections): -4.79 kcal/mol of atoms
# - V: 928.6 Å³ per cell
data_Tl2CrGaTe4
_cell_length_a 8.479
_cell_length_b 8.881
_cell_length_c 12.332
_cell_angle_alpha 90.00
_cell_angle_beta 90.00
_cell_angle_gamma 90.00
_space_group_name_H-M_alt 'I m m a'
_space_group_IT_number 74
_space_group_name_Hall '-I 2b 2'
loop_
_atom_site_label
_atom_site_fract_x
_atom_site_fract_y
_atom_site_fract_z
Tl1 0.000 0.000 0.000
Tl2 0.250 0.250 0.250
Cr1 0.250 0.250 0.750
Ga1 0.000 0.000 0.500
Te1 0.000 0.045 0.740
Te2 0.230 0.250 0.525

---

No. 6
# Ac4Sn5Pd3 (GGA-PBE, relaxed)
# - Density of states at the Fermi level: 0.6066 states/eV/atom
# - Total DFT energy (no corrections): -0.17904 hartree per atom
# - V: 759.2 Å³ per cell
data_Ac4Sn5Pd3
_cell_length_a 15.924
_cell_length_b 5.061
_cell_length_c 10.431
_cell_angle_alpha 90.00
_cell_angle_beta 115.42
_cell_angle_gamma 90.00
_space_group_name_H-M_alt 'C 1 2/m 1'
_space_group_IT_number 12
_space_group_name_Hall '-C 2y'
loop_
_atom_site_label
_atom_site_fract_x
_atom_site_fract_y
_atom_site_fract_z
Ac1 0.039 0.000 0.314
Ac2 0.243 0.000 0.826
Sn1 0.000 0.500 0.000
Sn2 0.094 0.500 0.612
Sn3 0.204 0.500 0.457
Pd1 0.000 0.000 0.000
Pd2 0.118 0.500 0.878

---

No. 7
# AgPbSe (GGA-PBE, relaxed)
# - Density of states at the Fermi level: 0.3037 states/eV/atom
# - Formation energy (no corrections): -1.32 kcal/mol of atoms
# - V: 318.6 Å³ per cell
data_AgPbSe
_cell_length_a 6.830
_cell_length_b 6.830
_cell_length_c 6.830
_cell_angle_alpha 90.00
_cell_angle_beta 90.00
_cell_angle_gamma 90.00
_space_group_name_H-M_alt 'F -4 3 m'
_space_group_IT_number 216
_space_group_name_Hall 'F -4 2 3'
loop_
_atom_site_label
_atom_site_fract_x
_atom_site_fract_y
_atom_site_fract_z
Ag1 0.000 0.000 0.000
Pb1 0.250 0.250 0.250
Se1 0.250 0.250 0.750

---

No. 8
# Li2Ac2LaSb2 (GGA-PBE, relaxed)
# - Density of states at the Fermi level: 0.9133 states/eV/atom
# - Formation energy (no corrections): -15.54 kcal/mol of atoms
# - V: 664.8 Å³ per cell
data_Li2Ac2LaSb2
_cell_length_a 4.5348
_cell_length_b 4.5348
_cell_length_c 37.3276
_cell_angle_alpha 90.00
_cell_angle_beta 90.00
_cell_angle_gamma 120.00
_space_group_name_H-M_alt 'R -3 m'
_space_group_IT_number 166
_space_group_name_Hall '-R 3 2"'
loop_
_atom_site_label
_atom_site_fract_x
_atom_site_fract_y
_atom_site_fract_z
Li1 0.0000 0.0000 0.1061
Ac1 0.0000 0.0000 0.3778
La1 0.0000 0.0000 0.5000
Sb1 0.0000 0.0000 0.2233

---

No. 9
# Sm5IrRu2 (GGA-PBE, relaxed)
# - Density of states at the Fermi level: 0.7604 states/eV/atom
# - Total DFT energy (no corrections): -0.24792 hartree per atom
# - V: 793.3 Å³ per cell
data_Sm5IrRu2
_cell_length_a 7.439
_cell_length_b 7.439
_cell_length_c 14.336
_cell_angle_alpha 90.00
_cell_angle_beta 90.00
_cell_angle_gamma 90.00
_space_group_name_H-M_alt 'I 4/m c m'
_space_group_IT_number 140
_space_group_name_Hall '-I 4 2c'
loop_
_atom_site_label
_atom_site_fract_x
_atom_site_fract_y
_atom_site_fract_z
Sm1 0.000 0.000 0.000
Sm2 0.177 0.323 0.143
Ir1 0.000 0.000 0.250
Ru1 0.122 0.378 0.500

---

No. 10
# AcGeH (GGA-PBE, relaxed)
# - Density of states at the Fermi level: 0.1576 states/eV/atom
# - Total DFT energy (no corrections): -0.17458 hartree per atom
# - V: 247.0 Å³ per cell
data_AcGeH
_cell_length_a 4.530
_cell_length_b 12.737
_cell_length_c 4.280
_cell_angle_alpha 90.00
_cell_angle_beta 90.00
_cell_angle_gamma 90.00
_space_group_name_H-M_alt 'C m c m'
_space_group_IT_number 63
_space_group_name_Hall '-C 2c 2'
loop_
_atom_site_label
_atom_site_fract_x
_atom_site_fract_y
_atom_site_fract_z
Ac1 0.000 0.146 0.250
Ge1 0.000 0.442 0.250
H1 0.000 0.255 0.750

---

No. 11
# La2Sm6YEr (GGA-PBE, relaxed)
# - Density of states at the Fermi level: 1.4978 states/eV/atom
# - Total DFT energy (no corrections): -0.17657 hartree per atom
# - V: 1370.5 Å³ per cell
data_La2Sm6YEr
_cell_length_a 9.121
_cell_length_b 15.279
_cell_length_c 9.976
_cell_angle_alpha 90.00
_cell_angle_beta 99.66
_cell_angle_gamma 90.00
_space_group_name_H-M_alt 'C 1 2/c 1'
_space_group_IT_number 15
_space_group_name_Hall '-C 2yc'
loop_
_atom_site_label
_atom_site_fract_x
_atom_site_fract_y
_atom_site_fract_z
La1 0.246 0.052 0.041
Sm1 0.066 0.191 0.444
Sm2 0.105 0.397 0.621
Sm3 0.199 0.220 0.810
Y1 0.000 0.014 0.750
Er1 0.000 0.406 0.250

---

No. 12
# Ac4Zn2Ag3 (GGA-PBE, relaxed)
# - Density of states at the Fermi level: 0.7602 states/eV/atom
# - Total DFT energy (no corrections): -0.11888 hartree per atom
# - V: 261.0 Å³ per cell
data_Ac4Zn2Ag3
_cell_length_a 5.3595
_cell_length_b 5.3595
_cell_length_c 10.4934
_cell_angle_alpha 90.00
_cell_angle_beta 90.00
_cell_angle_gamma 120.00
_space_group_name_H-M_alt 'P -3 m 1'
_space_group_IT_number 164
_space_group_name_Hall '-P 3 2"'
loop_
_atom_site_label
_atom_site_fract_x
_atom_site_fract_y
_atom_site_fract_z
Ac1 0.0000 0.0000 0.1635
Ac2 0.3333 0.6667 0.3911
Zn1 0.3333 0.6667 0.7180
Ag1 0.0000 0.0000 0.5000
Ag2 0.3333 0.6667 0.9948

---

What is the V in the twelfth record?
261.0 Å³ per cell

---

Look up the density of states at the Fermi level of the third one.
0.9438 states/eV/atom

---

Which of these has the highest density of states at the Fermi level?
La2Sm6YEr

---

Which formula does entry 2 have?
CaYAgIr